## BaLi3P (PBEsol)

Data for BaLi3P after structural relaxation.

Values from the calculation:
The value obtained for the total DFT energy (no corrections) is -15.49 eV/cell. The total moment is 0.00 μB/f.u. The mass density is 2.857 g/cm3. The formation energy from the elements is -0.3303 eV per atom.

Cell: 4.790 4.790 4.790 Å, 90.00 90.00 90.00°
Fractional positions:
P (0.000, 0.000, 0.000)
Ba (0.500, 0.500, 0.500)
Li (0.000, 0.500, 0.000)
Li (0.000, 0.000, 0.500)
Li (0.500, 0.000, 0.000)

---

## BaLi2SnP (PBEsol)

Data for BaLi2SnP after structural relaxation.

Values from the calculation:
The value obtained for the total DFT energy (no corrections) is -17.47 eV/cell. The total moment is 0.00 μB/f.u. The mass density is 3.438 g/cm3. The formation energy from the elements is -0.2675 eV per atom.

Cell: 4.889 4.889 6.080 Å, 90.00 90.00 90.00°
Fractional positions:
P (0.000, 0.000, 0.000)
Li (0.000, 0.500, 0.000)
Li (0.500, 0.000, 0.000)
Ba (0.000, 0.000, 0.500)
Sn (0.500, 0.500, 0.500)

---

## Ba2LiZnP (PBEsol)

Data for Ba2LiZnP after structural relaxation.

Values from the calculation:
The value obtained for the total DFT energy (no corrections) is -15.34 eV/cell. The total moment is 0.00 μB/f.u. The mass density is 3.547 g/cm3. The formation energy from the elements is -0.3404 eV per atom.

Cell: 4.604 6.200 6.200 Å, 90.00 90.00 90.00°
Fractional positions:
P (0.000, 0.000, 0.000)
Zn (0.500, 0.500, 0.500)
Ba (0.000, 0.000, 0.500)
Ba (0.000, 0.500, 0.000)
Li (0.500, 0.000, 0.000)

---

Number 3 is which compound? Ba2LiZnP

---

What is the formation energy from the elements in the third record? -0.3404 eV per atom